Record 1
VASP calculation (PBE) on crystalline Pm2LuBi at its relaxed geometry.

Properties
Offset from the most stable computed form ... 0.0 meV/atom
Calculated formation energy ... -1.58 eV per formula unit

Cell: 4.2710 4.2710 6.8170 Å, 90.00 90.00 90.00°
Closest atoms and distances in Å follow each position.
Atoms (fractional coordinates):
Pm  0.0000  0.0000  0.7598  2 Pm 3.27-3.54, 4 Bi 3.44, 4 Lu 3.50
Pm  0.0000  0.0000  0.2402  2 Pm 3.27-3.54, 4 Bi 3.44, 4 Lu 3.50
Lu  0.5000  0.5000  0.5000  2 Bi 3.41, 8 Pm 3.50
Bi  0.5000  0.5000  0.0000  2 Lu 3.41, 8 Pm 3.44


Record 2
VASP calculation (PBE) on crystalline Er3PuIn12 at its relaxed geometry.

Properties
Calculated formation energy ... -5.47 eV per formula unit

Cell: 4.6239 4.6239 18.5634 Å, 90.00 90.00 90.00°
Closest atoms and distances in Å follow each position.
Atoms (fractional coordinates):
In  0.5000  0.5000  0.7499  8 In 3.26-3.28, 4 Er 3.27
In  0.5000  0.0000  0.3757  4 Er 3.25-3.27, 8 In 3.27-3.28
In  0.5000  0.0000  0.8739  8 In 3.26-3.29, 2 Pu 3.29, 2 Er 3.29
In  0.5000  0.5000  0.0000  4 Pu 3.27, 8 In 3.29
In  0.5000  0.5000  0.2501  8 In 3.26-3.28, 4 Er 3.27
In  0.0000  0.5000  0.3757  4 Er 3.25-3.27, 8 In 3.27-3.28
In  0.5000  0.5000  0.5000  8 In 3.27, 4 Er 3.27
In  0.0000  0.5000  0.6243  4 Er 3.25-3.27, 8 In 3.27-3.28
In  0.5000  0.0000  0.1261  8 In 3.26-3.29, 2 Pu 3.29, 2 Er 3.29
In  0.0000  0.5000  0.8739  8 In 3.26-3.29, 2 Pu 3.29, 2 Er 3.29
In  0.0000  0.5000  0.1261  8 In 3.26-3.29, 2 Pu 3.29, 2 Er 3.29
In  0.5000  0.0000  0.6243  4 Er 3.25-3.27, 8 In 3.27-3.28
Pu  0.0000  0.0000  0.0000  12 In 3.27-3.29
Er  0.0000  0.0000  0.2524  12 In 3.25-3.29
Er  0.0000  0.0000  0.5000  12 In 3.27
Er  0.0000  0.0000  0.7476  12 In 3.25-3.29


Record 3
VASP calculation (PBE) on crystalline Sm2Ho2Bi2C at its relaxed geometry.

Properties
Calculated formation energy ... -4.79 eV per formula unit

Cell: 4.8387 4.8387 8.8664 Å, 105.83 105.83 90.00°
Closest atoms and distances in Å follow each position.
Atoms (fractional coordinates):
Ho  0.0000  0.5000  0.0000  2 C 2.42
Ho  0.5000  0.0000  0.0000  2 C 2.42
Bi  0.3591  0.3591  0.7183  5 Sm 3.32-3.43, 4 Ho 3.34
Bi  0.6409  0.6409  0.2817  5 Sm 3.32-3.43, 4 Ho 3.34
C  0.0000  0.0000  0.0000  4 Ho 2.42, 2 Sm 2.56
Sm  0.8436  0.8436  0.6872  1 C 2.56
Sm  0.1564  0.1564  0.3128  1 C 2.56


Record 4
VASP calculation (PBE) on crystalline Y6Tm5 at its relaxed geometry.

Properties
Calculated formation energy ... 1.46 eV per formula unit

Cell: 10.0335 8.2526 5.9222 Å, 75.10 64.97 52.56°
Closest atoms and distances in Å follow each position.
Atoms (fractional coordinates):
Tm  0.6300  0.7400  0.0000  5 Tm 3.41-3.47, 6 Y 3.46-3.51
Tm  0.2314  0.5371  0.5000  8 Y 3.43-3.68, 3 Tm 3.47-3.52
Tm  0.7686  0.4629  0.5000  8 Y 3.43-3.68, 3 Tm 3.47-3.52
Tm  0.3700  0.2600  0.0000  5 Tm 3.41-3.47, 6 Y 3.46-3.51
Tm  0.5000  0.0000  0.5000  6 Tm 3.42-3.52, 6 Y 3.49-3.51
Y  0.6728  0.2806  0.1219  5 Y 3.40-3.68, 6 Tm 3.43-3.68
Y  0.0466  0.2806  0.8781  5 Y 3.40-3.68, 6 Tm 3.43-3.68
Y  0.3272  0.7194  0.8781  5 Y 3.40-3.68, 6 Tm 3.43-3.68
Y  0.9534  0.7194  0.1219  5 Y 3.40-3.68, 6 Tm 3.43-3.68
Y  0.8143  0.0000  0.6137  5 Y 3.39-3.52, 5 Tm 3.46-3.49
Y  0.1857  0.0000  0.3863  5 Y 3.39-3.52, 5 Tm 3.46-3.49


Record 5
VASP calculation (PBE) on crystalline SrTaBe2 at its relaxed geometry.

Properties
Offset from the most stable computed form ... 467.5 meV/atom
Calculated formation energy ... 3.33 eV per formula unit

Cell: 8.6134 8.6134 8.6134 Å, 21.38 21.38 21.38°
Closest atoms and distances in Å follow each position.
Atoms (fractional coordinates):
Ta  0.7500  0.7500  0.7500  6 Be 2.56
Be  0.0129  0.0129  0.0129  3 Ta 2.56
Be  0.4871  0.4871  0.4871  3 Ta 2.56
Sr  0.2500  0.2500  0.2500  6 Be 3.05, 6 Sr 3.20


Record 6
VASP calculation (PBE) on crystalline LaZnNiGe2 at its relaxed geometry.

Properties
Offset from the most stable computed form ... 0.0 meV/atom
Calculated formation energy ... -3.03 eV per formula unit

Cell: 4.2049 4.2049 6.0243 Å, 110.43 110.43 90.00°
Closest atoms and distances in Å follow each position.
Atoms (fractional coordinates):
La  0.0000  0.0000  0.0000  8 Ge 3.24, 4 Ni 3.36, 4 Zn 3.36
Ge  0.3763  0.3763  0.7527  2 Ni 2.48, 2 Zn 2.48, 1 Ge 2.59
Ge  0.6237  0.6237  0.2473  2 Zn 2.48, 2 Ni 2.48, 1 Ge 2.59
Zn  0.7500  0.2500  0.5000  4 Ge 2.48
Ni  0.2500  0.7500  0.5000  4 Ge 2.48


Record 7
VASP calculation (PBE) on crystalline Ti3AlAu at its relaxed geometry.

Properties
Offset from the most stable computed form ... 990.9 meV/atom
Calculated formation energy ... 3.38 eV per formula unit

Cell: 4.8556 4.8556 4.8556 Å, 90.00 90.00 90.00°
Closest atoms and distances in Å follow each position.
Atoms (fractional coordinates):
Ti  0.0000  0.5000  0.0000  2 Au 2.43
Ti  0.5000  0.0000  0.0000  2 Au 2.43
Ti  0.0000  0.0000  0.5000  2 Au 2.43
Au  0.0000  0.0000  0.0000  6 Ti 2.43
Al  0.5000  0.5000  0.5000  12 Ti 3.43


Record 8
VASP calculation (PBE) on crystalline Cd2Hg2F7 at its relaxed geometry.

Properties
Offset from the most stable computed form ... 23.5 meV/atom
Uncorrected formation energy ... -1.703 eV/atom

Cell: 3.4587 7.4803 7.4803 Å, 58.41 76.63 76.63°
Closest atoms and distances in Å follow each position.
Atoms (fractional coordinates):
Hg  0.2525  0.3261  0.1689  5 F 2.39-2.60
Hg  0.7475  0.8311  0.6739  5 F 2.39-2.60
F  0.1827  0.7004  0.9342  3 Hg 2.39, 1 Cd 2.39
F  0.8807  0.4091  0.8294  2 Cd 2.31
F  0.6001  0.5124  0.2875  3 Cd 2.43-2.53, 1 F 2.52, 2 Hg 2.60
F  0.3999  0.7125  0.4876  3 Cd 2.43-2.53, 1 F 2.52, 2 Hg 2.60
F  0.5000  0.0014  0.9986  3 Cd 2.29-2.38
F  0.1193  0.1706  0.5909  2 Cd 2.31
F  0.8173  0.0658  0.2996  3 Hg 2.39, 1 Cd 2.39
Cd  0.0000  0.7964  0.2036  8 F 2.29-2.53
Cd  0.5000  0.3281  0.6719  7 F 2.31-2.43


Record 9
VASP calculation (PBE) on crystalline Tl2GaCu2 at its relaxed geometry.

Properties
Offset from the most stable computed form ... 0.0 meV/atom
Calculated formation energy ... 1.02 eV per formula unit

Cell: 6.8138 6.8138 4.3308 Å, 90.00 90.00 90.00°
Closest atoms and distances in Å follow each position.
Atoms (fractional coordinates):
Cu  0.3670  0.8670  0.0000  1 Cu 2.56, 2 Ga 2.66, 2 Tl 2.87
Cu  0.6330  0.1330  0.0000  1 Cu 2.56, 2 Ga 2.66, 2 Tl 2.87
Cu  0.1330  0.3670  0.0000  1 Cu 2.56, 2 Ga 2.66, 2 Tl 2.87
Cu  0.8670  0.6330  0.0000  1 Cu 2.56, 2 Ga 2.66, 2 Tl 2.87
Ga  0.0000  0.0000  0.0000  4 Cu 2.66
Ga  0.5000  0.5000  0.0000  4 Cu 2.66
Tl  0.6722  0.8278  0.5000  6 Cu 2.87-3.01
Tl  0.1722  0.6722  0.5000  6 Cu 2.87-3.01
Tl  0.8278  0.3278  0.5000  6 Cu 2.87-3.01
Tl  0.3278  0.1722  0.5000  6 Cu 2.87-3.01


Record 10
VASP calculation (PBE) on crystalline ReSn2Cl3F6 at its relaxed geometry.

Properties
Uncorrected formation energy ... -1.676 eV/atom

Cell: 5.6488 7.2178 9.0356 Å, 113.54 122.78 90.00°
Closest atoms and distances in Å follow each position.
Atoms (fractional coordinates):
F  0.7558  0.9075  0.1937  1 Re 1.95
F  0.7558  0.2862  0.1937  1 Re 1.95
F  0.2886  0.0545  0.1090  1 Re 1.87
F  0.2442  0.7138  0.8063  1 Re 1.95
F  0.2442  0.0925  0.8063  1 Re 1.95
F  0.7114  0.9455  0.8910  1 Re 1.87
Re  0.5000  0.0000  0.0000  6 F 1.87-1.95
Cl  0.0000  0.5000  0.0000  2 Sn 2.62
Cl  0.5000  0.5000  0.5000  2 Sn 2.63
Cl  0.5000  0.0000  0.5000  2 Sn 2.63
Sn  0.0804  0.6727  0.3454  3 Cl 2.62-2.63, 2 F 2.69
Sn  0.9196  0.3273  0.6546  3 Cl 2.62-2.63, 2 F 2.69


Record 11
VASP calculation (PBE) on crystalline Ba3LiIr2O9 at its relaxed geometry.

Properties
Offset from the most stable computed form ... 0.0 meV/atom
Uncorrected formation energy ... -1.764 eV/atom

Cell: 5.8582 5.8582 14.4077 Å, 90.00 90.00 120.00°
Closest atoms and distances in Å follow each position.
Atoms (fractional coordinates):
O  0.1753  0.3505  0.0849  1 Ir 1.92
O  0.6495  0.8247  0.4151  1 Ir 1.92
O  0.8247  0.1753  0.9151  1 Ir 1.92
O  0.9757  0.4879  0.7500  2 Ir 2.05
O  0.8247  0.1753  0.5849  1 Ir 1.92
O  0.5121  0.0243  0.7500  2 Ir 2.05
O  0.3505  0.1753  0.5849  1 Ir 1.92
O  0.3505  0.1753  0.9151  1 Ir 1.92
O  0.4879  0.5121  0.2500  2 Ir 2.05
O  0.0243  0.5121  0.2500  2 Ir 2.05
O  0.5121  0.4879  0.7500  2 Ir 2.05
O  0.1753  0.8247  0.4151  1 Ir 1.92
O  0.8247  0.6495  0.9151  1 Ir 1.92
O  0.6495  0.8247  0.0849  1 Ir 1.92
O  0.8247  0.6495  0.5849  1 Ir 1.92
O  0.1753  0.3505  0.4151  1 Ir 1.92
O  0.1753  0.8247  0.0849  1 Ir 1.92
O  0.4879  0.9757  0.2500  2 Ir 2.05
Ir  0.3333  0.6667  0.3413  6 O 1.92-2.05
Ir  0.6667  0.3333  0.6587  6 O 1.92-2.05
Ir  0.6667  0.3333  0.8413  6 O 1.92-2.05
Ir  0.3333  0.6667  0.1587  6 O 1.92-2.05
Ba  0.3333  0.6667  0.5824  12 O 2.90-3.02
Ba  0.6667  0.3333  0.0824  12 O 2.90-3.02
Ba  0.0000  0.0000  0.2500  12 O 2.93-2.97
Ba  0.3333  0.6667  0.9176  12 O 2.90-3.02
Ba  0.6667  0.3333  0.4176  12 O 2.90-3.02
Ba  0.0000  0.0000  0.7500  12 O 2.93-2.97
Li  0.0000  0.0000  0.5000  6 O 2.16
Li  0.0000  0.0000  0.0000  6 O 2.16


Record 12
VASP calculation (PBE) on crystalline CaNd3H at its relaxed geometry.

Properties
Energy ... -4.05 eV/atom

Cell: 5.2161 5.2161 5.2161 Å, 90.00 90.00 90.00°
Closest atoms and distances in Å follow each position.
Atoms (fractional coordinates):
Nd  0.0000  0.0000  0.5000  2 H 2.61
Nd  0.5000  0.0000  0.0000  2 H 2.61
Nd  0.0000  0.5000  0.0000  2 H 2.61
H  0.0000  0.0000  0.0000  6 Nd 2.61
Ca  0.5000  0.5000  0.5000  12 Nd 3.69